[1]
Here is ZrFeTc2 after structural relaxation from the Alexandria database. Energies are from GGA-PBE.

## Properties
**ΔE to the lowest computed polymorph**: 10 meV/atom
**Volume**: 62.0 Å³/f.u.
**VASP energy**: -9.46 eV per atom

a b c (Å): 3.1945 4.3538 4.4572
angles (deg): 90.00 90.00 90.00
Last column: nearest neighbours and their distance in Å.
Space group Pmmm (No. 47)
Asymmetric unit:
Zr (0.0000, 0.0000, 0.0000) (multiplicity 1)  4 Fe 2.70, 4 Tc 2.74
Fe (0.5000, 0.5000, 0.0000) (multiplicity 1)  4 Zr 2.70, 4 Tc 2.74
Tc (0.0000, 0.5000, 0.5000) (multiplicity 1)  4 Tc 2.70, 4 Fe 2.74
Tc (0.5000, 0.0000, 0.5000) (multiplicity 1)  4 Tc 2.70, 4 Zr 2.74


[2]
Here is Zr2FeTc after structural relaxation from the Alexandria database. Energies are from GGA-PBE.

## Properties
**Volume**: 73.8 Å³/f.u.
**VASP energy**: -8.34 eV per atom

a b c (Å): 2.8315 4.9839 10.4643
angles (deg): 90.00 90.00 90.00
Last column: nearest neighbours and their distance in Å.
Space group Immm (No. 71)
Asymmetric unit:
Zr (0.0000, 0.0000, 0.2463) (multiplicity 4)  1 Fe 2.58, 1 Tc 2.65, 6 Zr 2.83-2.87
Fe (0.0000, 0.0000, 0.0000) (multiplicity 2)  2 Zr 2.58, 2 Fe 2.83, 4 Tc 2.87
Tc (0.0000, 0.0000, 0.5000) (multiplicity 2)  2 Zr 2.65, 2 Tc 2.83, 4 Fe 2.87


[3]
Here is ZrFeTc2 after structural relaxation from the Alexandria database. Energies are from GGA-PBE.

## Properties
**ΔE to the lowest computed polymorph**: 92 meV/atom
**Volume**: 62.3 Å³/f.u.
**VASP energy**: -9.38 eV per atom

a b c (Å): 5.4214 8.9021 2.7714
angles (deg): 90.00 111.37 90.00
Last column: nearest neighbours and their distance in Å.
Space group C2/m (No. 12)
Asymmetric unit:
Zr (0.0000, 0.0000, 0.0000) (multiplicity 2)  4 Tc 2.71, 2 Fe 2.71, 2 Zr 2.77
Fe (0.0000, 0.5000, 0.0000) (multiplicity 2)  4 Tc 2.71, 2 Zr 2.71, 2 Fe 2.77
Tc (0.2500, 0.2500, 0.5000) (multiplicity 4)  2 Zr 2.71, 2 Fe 2.71, 4 Tc 2.71-2.77


[4]
Here is ZrFeTc2 after structural relaxation from the Alexandria database. Energies are from GGA-PBE.

## Properties
**ΔE to the lowest computed polymorph**: 84 meV/atom
**Volume**: 62.2 Å³/f.u.
**VASP energy**: -9.38 eV per atom

a b c (Å): 6.2911 6.2911 6.2911
angles (deg): 90.00 90.00 90.00
Last column: nearest neighbours and their distance in Å.
Space group Fm-3m (No. 225)
Asymmetric unit:
Zr (0.0000, 0.0000, 0.0000) (multiplicity 4)  8 Tc 2.72
Fe (0.0000, 0.0000, 0.5000) (multiplicity 4)  8 Tc 2.72
Tc (0.2500, 0.2500, 0.2500) (multiplicity 8)  4 Zr 2.72, 4 Fe 2.72


Calculated ΔH_f (0 K), -23; 644; 59; 51 meV/atom (same order as the records).